Entry 1:
PBE LiSi2Te, optimized geometry; ΔE_f (raw) = 0.074 eV/atom; DOS(E_F) = 1.75 states/eV/f.u.
1.0
2.980 0.000 0.000
0.000 4.058 0.000
-0.035 0.000 6.666
Li Si Te
1 2 1
direct
0.000 0.000 0.000
0.501 0.000 0.391
0.502 0.500 0.190
0.499 0.500 0.778



Entry 2:
PBE LiSiTe3, optimized geometry; ΔE_f (raw) = -0.131 eV/atom; DOS(E_F) = 2.49 states/eV/f.u.
1.0
6.624 0.000 0.000
-3.312 5.736 0.000
0.000 0.000 6.861
Li Si Te
2 2 6
direct
0.333 0.667 0.250
0.667 0.333 0.750
0.000 0.000 0.250
0.000 0.000 0.750
0.000 0.324 0.500
0.000 0.676 0.000
0.324 0.000 0.500
0.324 0.324 0.000
0.676 0.000 0.000
0.676 0.676 0.500



Entry 3:
PBE LiSi4Te, optimized geometry; ΔE_f (raw) = 0.345 eV/atom; DOS(E_F) = 3.25 states/eV/f.u.
1.0
0.000 3.756 3.756
3.756 0.000 3.756
3.756 3.756 0.000
Li Si Te
1 4 1
direct
0.000 0.000 0.000
0.373 0.373 0.373
0.373 0.373 0.880
0.373 0.880 0.373
0.880 0.373 0.373
0.750 0.750 0.750



Entry 4:
PBE Li2SiTe, optimized geometry; ΔE_f (raw) = -0.240 eV/atom; DOS(E_F) = 1.00 states/eV/f.u.
1.0
3.660 0.000 0.000
0.000 3.660 0.000
0.000 0.000 5.788
Li Si Te
2 1 1
direct
0.000 0.000 0.242
0.000 0.000 0.758
0.500 0.500 0.000
0.500 0.500 0.500



Entry 5:
PBE LiSi2Te, optimized geometry; ΔE_f (raw) = 0.145 eV/atom; DOS(E_F) = 0.63 states/eV/f.u.
1.0
3.697 0.000 0.000
0.000 4.708 0.000
0.000 0.000 9.621
Li Si Te
2 4 2
direct
0.000 0.000 0.000
0.500 0.500 0.000
0.000 0.000 0.389
0.000 0.500 0.213
0.500 0.000 0.213
0.500 0.500 0.389
0.000 0.500 0.762
0.500 0.000 0.762



Entry 6:
PBE LiSi3Te, optimized geometry; ΔE_f (raw) = 0.771 eV/atom; DOS(E_F) = 2.99 states/eV/f.u.
1.0
4.596 0.000 0.000
0.000 4.596 0.000
0.000 0.000 4.596
Li Si Te
1 3 1
direct
0.000 0.000 0.000
0.000 0.000 0.500
0.000 0.500 0.000
0.500 0.000 0.000
0.500 0.500 0.500



Entry 7:
PBE LiSiTe3, optimized geometry; ΔE_f (raw) = 0.499 eV/atom; DOS(E_F) = 4.31 states/eV/f.u.
1.0
5.057 0.000 0.000
0.000 5.057 0.000
0.000 0.000 5.057
Li Si Te
1 1 3
direct
0.000 0.000 0.000
0.500 0.500 0.500
0.000 0.000 0.500
0.000 0.500 0.000
0.500 0.000 0.000



Entry 8:
PBE Li2SiTe6, optimized geometry; ΔE_f (raw) = -0.205 eV/atom; DOS(E_F) = 1.25 states/eV/f.u.
1.0
6.714 0.000 0.000
0.000 8.097 0.000
-4.356 0.000 9.702
Li Si Te
4 2 12
direct
0.242 0.012 0.180
0.242 0.488 0.680
0.758 0.512 0.320
0.758 0.988 0.820
0.000 0.000 0.500
0.000 0.500 0.000
0.059 0.730 0.817
0.059 0.770 0.317
0.267 0.248 0.961
0.267 0.252 0.461
0.379 0.694 0.144
0.379 0.806 0.644
0.621 0.194 0.356
0.621 0.306 0.856
0.733 0.748 0.539
0.733 0.752 0.039
0.941 0.230 0.683
0.941 0.270 0.183



Entry 9:
PBE LiSi2Te, optimized geometry; ΔE_f (raw) = 0.033 eV/atom; DOS(E_F) = 1.51 states/eV/f.u.
1.0
5.344 0.000 0.000
0.000 5.463 0.000
0.000 0.000 10.269
Li Si Te
4 8 4
direct
0.000 0.000 0.000
0.000 0.500 0.500
0.500 0.000 0.500
0.500 0.500 0.000
0.000 0.250 0.250
0.000 0.250 0.750
0.000 0.750 0.250
0.000 0.750 0.750
0.500 0.250 0.250
0.500 0.250 0.750
0.500 0.750 0.250
0.500 0.750 0.750
0.000 0.000 0.500
0.000 0.500 0.000
0.500 0.000 0.000
0.500 0.500 0.500



Entry 10:
PBE LiSi2Te, optimized geometry; ΔE_f (raw) = 0.532 eV/atom; DOS(E_F) = 1.61 states/eV/f.u.
1.0
6.295 0.000 0.000
0.000 6.295 0.000
0.000 0.000 10.844
Li Si Te
4 8 4
direct
0.000 0.000 0.000
0.000 0.500 0.250
0.500 0.000 0.750
0.500 0.500 0.500
0.235 0.250 0.125
0.250 0.735 0.375
0.250 0.765 0.875
0.265 0.250 0.625
0.735 0.750 0.625
0.750 0.235 0.875
0.750 0.265 0.375
0.765 0.750 0.125
0.000 0.000 0.500
0.000 0.500 0.750
0.500 0.000 0.250
0.500 0.500 0.000



Entry 11:
PBE Li2SiTe, optimized geometry; ΔE_f (raw) = -0.230 eV/atom; DOS(E_F) = 0.98 states/eV/f.u.
1.0
4.053 0.000 0.000
0.000 3.397 0.000
0.000 0.000 11.718
Li Si Te
4 2 2
direct
0.000 0.000 0.000
0.000 0.000 0.271
0.000 0.500 0.500
0.000 0.500 0.771
0.500 0.000 0.846
0.500 0.500 0.346
0.500 0.000 0.624
0.500 0.500 0.124



Entry 12:
PBE Li3SiTe4, optimized geometry; ΔE_f (raw) = -0.520 eV/atom; DOS(E_F) = 4.93 states/eV/f.u.
1.0
7.841 0.000 0.000
0.000 8.102 0.000
0.000 0.000 7.509
Li Si Te
6 2 8
direct
0.000 0.133 0.000
0.237 0.331 0.527
0.263 0.669 0.027
0.500 0.867 0.500
0.737 0.669 0.027
0.763 0.331 0.527
0.000 0.818 0.503
0.500 0.182 0.003
0.000 0.107 0.368
0.000 0.834 0.842
0.248 0.349 0.895
0.252 0.651 0.395
0.500 0.166 0.342
0.500 0.893 0.868
0.748 0.651 0.395
0.752 0.349 0.895



Entry 13:
PBE Li2SiTe, optimized geometry; ΔE_f (raw) = -0.260 eV/atom; DOS(E_F) = 1.01 states/eV/f.u.
1.0
3.036 0.000 0.000
0.000 4.091 0.000
-0.067 0.000 6.155
Li Si Te
2 1 1
direct
0.001 0.000 0.218
0.999 0.000 0.782
0.500 0.500 0.000
0.500 0.500 0.500



Entry 14:
PBE LiSiTe3, optimized geometry; ΔE_f (raw) = -0.189 eV/atom; DOS(E_F) = 1.33 states/eV/f.u.
1.0
7.657 0.000 0.000
0.000 3.910 0.000
-3.464 0.000 8.788
Li Si Te
2 2 6
direct
0.027 0.250 0.184
0.973 0.750 0.816
0.465 0.250 0.801
0.535 0.750 0.199
0.226 0.750 0.642
0.283 0.250 0.999
0.296 0.750 0.354
0.704 0.250 0.646
0.717 0.750 0.001
0.774 0.250 0.358



Entry 15:
PBE LiSiTe3, optimized geometry; ΔE_f (raw) = 0.142 eV/atom; DOS(E_F) = 3.65 states/eV/f.u.
1.0
5.337 0.000 0.000
0.000 5.337 0.000
0.000 0.000 5.337
Li Si Te
1 1 3
direct
0.000 0.000 0.000
0.500 0.500 0.500
0.000 0.500 0.500
0.500 0.000 0.500
0.500 0.500 0.000



Entry 16:
PBE Li8SiTe6, optimized geometry; ΔE_f (raw) = -0.799 eV/atom
1.0
8.103 0.000 0.000
0.000 8.295 0.000
0.000 0.000 11.462
Li Si Te
16 2 12
direct
0.000 0.118 0.000
0.000 0.250 0.449
0.176 0.611 0.121
0.195 0.574 0.811
0.230 0.926 0.770
0.270 0.074 0.270
0.305 0.426 0.311
0.324 0.389 0.621
0.500 0.750 0.949
0.500 0.882 0.500
0.676 0.389 0.621
0.695 0.426 0.311
0.730 0.074 0.270
0.770 0.926 0.770
0.805 0.574 0.811
0.824 0.611 0.121
0.000 0.754 0.469
0.500 0.246 0.969
0.000 0.300 0.215
0.000 0.506 0.601
0.000 0.773 0.947
0.000 0.997 0.597
0.245 0.247 0.844
0.255 0.753 0.344
0.500 0.003 0.097
0.500 0.227 0.447
0.500 0.494 0.101
0.500 0.700 0.715
0.745 0.753 0.344
0.755 0.247 0.844



Entry 17:
PBE LiSi2Te, optimized geometry; ΔE_f (raw) = 0.133 eV/atom; DOS(E_F) = 2.79 states/eV/f.u.
1.0
3.357 0.000 0.000
0.000 3.357 0.000
0.000 0.000 7.830
Li Si Te
1 2 1
direct
0.000 0.000 0.000
0.000 0.000 0.344
0.500 0.500 0.281
0.500 0.500 0.779



Entry 18:
PBE LiSi2Te2, optimized geometry; ΔE_f (raw) = 0.010 eV/atom; DOS(E_F) = 0.90 states/eV/f.u.
1.0
3.509 0.000 0.000
0.000 3.509 0.000
0.000 0.000 17.953
Li Si Te
2 4 4
direct
0.000 0.000 0.000
0.500 0.500 0.500
0.000 0.500 0.250
0.000 0.500 0.750
0.500 0.000 0.250
0.500 0.000 0.750
0.000 0.000 0.394
0.000 0.000 0.606
0.500 0.500 0.106
0.500 0.500 0.894



Entry 19:
PBE LiSi2Te, optimized geometry; ΔE_f (raw) = 0.307 eV/atom; DOS(E_F) = 2.69 states/eV/f.u.
1.0
3.748 0.000 0.000
0.000 3.748 0.000
0.000 0.000 5.491
Li Si Te
1 2 1
direct
0.000 0.000 0.000
0.500 0.500 0.219
0.500 0.500 0.781
0.000 0.000 0.500



Entry 20:
PBE Li2SiTe, optimized geometry; ΔE_f (raw) = 0.007 eV/atom; DOS(E_F) = 2.59 states/eV/f.u.
1.0
6.887 0.000 0.000
0.000 6.887 0.000
0.000 0.000 6.887
Li Si Te
8 4 4
direct
0.000 0.000 0.000
0.000 0.500 0.500
0.250 0.250 0.250
0.250 0.750 0.750
0.500 0.000 0.500
0.500 0.500 0.000
0.750 0.250 0.750
0.750 0.750 0.250
0.000 0.000 0.500
0.000 0.500 0.000
0.500 0.000 0.000
0.500 0.500 0.500
0.250 0.250 0.750
0.250 0.750 0.250
0.750 0.250 0.250
0.750 0.750 0.750



Entry 21:
PBE Li2SiTe, optimized geometry; ΔE_f (raw) = -0.263 eV/atom; DOS(E_F) = 1.80 states/eV/f.u.
1.0
4.320 0.000 0.000
0.000 4.320 0.000
0.000 0.000 4.071
Li Si Te
2 1 1
direct
0.000 0.500 0.000
0.500 0.000 0.000
0.000 0.000 0.500
0.500 0.500 0.500



Entry 22:
PBE Li2SiTe, optimized geometry; ΔE_f (raw) = -0.120 eV/atom; DOS(E_F) = 1.53 states/eV/f.u.
1.0
3.175 0.000 0.000
-1.587 2.749 0.000
0.000 0.000 26.449
Li Si Te
6 3 3
direct
0.000 0.000 0.244
0.000 0.000 0.756
0.333 0.667 0.422
0.333 0.667 0.911
0.667 0.333 0.089
0.667 0.333 0.578
0.000 0.000 0.500
0.333 0.667 0.167
0.667 0.333 0.833
0.000 0.000 0.000
0.333 0.667 0.667
0.667 0.333 0.333



Entry 23:
PBE LiTl2SiTe4, optimized geometry; ΔE_f (raw) = -0.207 eV/atom; DOS(E_F) = 4.06 states/eV/f.u.
1.0
-4.083 4.602 6.095
4.083 -4.602 6.095
4.083 4.602 -6.095
Li Tl Si Te
2 4 2 8
direct
0.000 0.000 0.000
0.500 0.000 0.500
0.000 0.500 0.500
0.500 0.000 0.000
0.500 0.500 0.000
0.500 0.500 0.500
0.000 0.000 0.500
0.000 0.500 0.000
0.203 0.241 0.962
0.222 0.759 0.462
0.229 0.207 0.477
0.229 0.752 0.023
0.771 0.248 0.977
0.771 0.793 0.523
0.778 0.241 0.538
0.797 0.759 0.038



Entry 24:
PBE Li2ZnSiTe, optimized geometry; ΔE_f (raw) = 0.262 eV/atom; DOS(E_F) = 2.81 states/eV/f.u.
1.0
4.943 0.000 0.000
0.000 4.943 0.000
0.000 0.000 5.827
Li Zn Si Te
2 1 1 1
direct
0.000 0.500 0.000
0.500 0.000 0.000
0.000 0.000 0.500
0.500 0.500 0.500
0.500 0.500 0.000



Entry 25:
PBE Li4ThSi2, optimized geometry; ΔE_f (raw) = -0.330 eV/atom; DOS(E_F) = 3.81 states/eV/f.u.
1.0
4.130 0.000 0.000
0.000 4.124 0.000
-2.035 0.000 7.893
Li Th Si
4 1 2
direct
0.173 0.000 0.350
0.326 0.500 0.648
0.674 0.500 0.352
0.827 0.000 0.650
0.500 0.000 0.000
0.075 0.500 0.150
0.925 0.500 0.850